Density functional theory data (PBE) for a relaxed structure of TbHoCSe. Values from VASP.

The structure in Quantum ESPRESSO input format:
```
&SYSTEM
  ibrav = 0, nat = 8, ntyp = 4
/
ATOMIC_SPECIES
Ho 164.93 Ho.upf
Se 78.96 Se.upf
Tb 158.93 Tb.upf
C 12.01 C.upf
CELL_PARAMETERS angstrom
3.7596 0.0000 0.0000
-1.8798 3.2559 0.0000
0.0000 0.0000 13.2799
ATOMIC_POSITIONS crystal
Ho 0.6667 0.3333 0.8514
Ho 0.6667 0.3333 0.1486
Se 0.6667 0.3333 0.5000
Se 0.3333 0.6667 0.0000
Tb 0.3333 0.6667 0.3492
Tb 0.3333 0.6667 0.6508
C 0.0000 0.0000 0.7524
C 0.0000 0.0000 0.2476
```

## Properties
density = 8.48 Mg/m³
electronic total energy = -6.626 eV/atom
calculated volume = 20.32 Å³ per atom

***

Density functional theory data (PBE) for a relaxed structure of HoTm2Cd4In2. Values from VASP.

The structure in Quantum ESPRESSO input format:
```
&SYSTEM
  ibrav = 0, nat = 9, ntyp = 4
/
ATOMIC_SPECIES
Cd 112.41 Cd.upf
Ho 164.93 Ho.upf
Tm 168.93 Tm.upf
In 114.82 In.upf
CELL_PARAMETERS angstrom
-1.7516 -4.1327 -0.9492
-2.6638 -0.4628 6.9308
-4.1391 2.9962 -5.4071
ATOMIC_POSITIONS crystal
Cd 0.5000 0.0003 0.2425
Cd 0.0000 0.9983 0.9983
Cd 0.5000 0.2425 0.0003
Cd 0.5000 0.7569 0.7569
Ho 0.0000 0.4294 0.4294
Tm 0.0000 0.5712 0.0006
Tm 0.0000 0.0006 0.5712
In 0.5000 0.6677 0.3330
In 0.5000 0.3330 0.6677
```

## Properties
density = 8.94 Mg/m³
electronic total energy = -2.873 eV/atom
calculated volume = 24.38 Å³ per atom

***

Density functional theory data (PBE) for a relaxed structure of HoErBPb. Values from VASP.

The structure in Quantum ESPRESSO input format:
```
&SYSTEM
  ibrav = 0, nat = 8, ntyp = 4
/
ATOMIC_SPECIES
Pb 207.20 Pb.upf
Er 167.26 Er.upf
Ho 164.93 Ho.upf
B 10.81 B.upf
CELL_PARAMETERS angstrom
-2.0256 -3.0153 -0.5210
2.9410 0.6210 -2.1050
9.4963 -8.2515 10.8336
ATOMIC_POSITIONS crystal
Pb 0.3333 0.6667 0.7508
Pb 0.6667 0.3333 0.2492
Er 0.6667 0.3333 0.9117
Er 0.3333 0.6667 0.0883
Ho 0.6667 0.3333 0.5895
Ho 0.3333 0.6667 0.4105
B 0.0000 0.0000 0.0000
B 0.0000 0.0000 0.5000
```

## Properties
density = 9.44 Mg/m³
electronic total energy = -5.098 eV/atom
calculated volume = 24.20 Å³ per atom